## KTaCSe2 (SCAN)

Data for a PBEsol-optimized structure of KTaCSe2.

Values from the calculation:
**V**: 182 Å³ per cell
**Formation energy without anion corrections**: 1.117 eV per atom

a = 4.8763 Å, b = 4.8763 Å, c = 7.6349 Å
α = 90.00°, β = 90.00°, γ = 90.00°
Last column: nearest neighbours and their distance in Å.
Fractional positions:
K 0.0000 0.0000 0.5000  4 C 3.45, 2 Ta 3.82
C 0.5000 0.5000 0.5000  4 K 3.45
Se 0.0000 0.5000 0.0000  2 Ta 2.44
Se 0.5000 0.0000 0.0000  2 Ta 2.44
Ta 0.0000 0.0000 0.0000  4 Se 2.44